(1)
# AlCu2Sb (PBE-GGA, optimized geometry)
# final energy = -3.854 eV/atom
# mass density = 6.88 g/cm³
# E_form (uncorrected) = 160 meV per atom
# spin magnetization = 0.00 μB per formula unit
data_AlCu2Sb
_cell_length_a 4.038
_cell_length_b 4.184
_cell_length_c 7.887
_cell_angle_alpha 90.00
_cell_angle_beta 90.00
_cell_angle_gamma 90.00
_space_group_name_H-M_alt 'I m m m'
_space_group_IT_number 71
_space_group_name_Hall '-I 2 2'
loop_
_atom_site_label
_atom_site_fract_x
_atom_site_fract_y
_atom_site_fract_z
Al1 0.000 0.000 0.000
Cu1 0.000 0.500 0.253
Sb1 0.000 0.000 0.500

(2)
# Ce3PuPt4 (PBE-GGA, optimized geometry)
# final energy = -8.013 eV/atom
# mass density = 12.12 g/cm³
# spin magnetization = 6.57 μB per formula unit
# formation energy = -0.98 eV/atom
data_Ce3PuPt4
_cell_length_a 5.826
_cell_length_b 5.826
_cell_length_c 11.663
_cell_angle_alpha 90.00
_cell_angle_beta 90.00
_cell_angle_gamma 90.00
_space_group_name_H-M_alt 'I 4/m m m'
_space_group_IT_number 139
_space_group_name_Hall '-I 4 2'
loop_
_atom_site_label
_atom_site_fract_x
_atom_site_fract_y
_atom_site_fract_z
Ce1 0.000 0.000 0.000
Ce2 0.000 0.500 0.250
Pu1 0.000 0.000 0.500
Pt1 0.000 0.000 0.251
Pt2 0.000 0.500 0.000

(3)
# La2TlAs (PBE-GGA, optimized geometry)
# final energy = -4.918 eV/atom
# mass density = 8.02 g/cm³
# spin magnetization = 0.00 μB per formula unit
# formation energy = -0.70 eV/atom
data_La2TlAs
_cell_length_a 4.814
_cell_length_b 5.520
_cell_length_c 8.686
_cell_angle_alpha 90.00
_cell_angle_beta 90.00
_cell_angle_gamma 90.00
_space_group_name_H-M_alt 'I m m m'
_space_group_IT_number 71
_space_group_name_Hall '-I 2 2'
loop_
_atom_site_label
_atom_site_fract_x
_atom_site_fract_y
_atom_site_fract_z
La1 0.000 0.000 0.237
Tl1 0.000 0.500 0.000
As1 0.000 0.500 0.500

(4)
# TmZrNb (PBE-GGA, optimized geometry)
# final energy = -7.562 eV/atom
# mass density = 8.26 g/cm³
# spin magnetization = 0.00 μB per formula unit
# formation energy = 0.13 eV/atom
data_TmZrNb
_cell_length_a 3.664
_cell_length_b 3.664
_cell_length_c 10.582
_cell_angle_alpha 90.00
_cell_angle_beta 90.00
_cell_angle_gamma 90.00
_space_group_name_H-M_alt 'I 4 m m'
_space_group_IT_number 107
_space_group_name_Hall 'I 4 -2'
loop_
_atom_site_label
_atom_site_fract_x
_atom_site_fract_y
_atom_site_fract_z
Tm1 0.000 0.000 0.000
Zr1 0.000 0.000 0.298
Nb1 0.000 0.000 0.689

(5)
# TlIrPb2 (PBE-GGA, optimized geometry)
# final energy = -4.127 eV/atom
# mass density = 13.67 g/cm³
# spin magnetization = 0.00 μB per formula unit
# formation energy = 0.53 eV/atom
data_TlIrPb2
_cell_length_a 4.248
_cell_length_b 4.778
_cell_length_c 4.855
_cell_angle_alpha 90.00
_cell_angle_beta 90.00
_cell_angle_gamma 90.00
_space_group_name_H-M_alt 'P m m m'
_space_group_IT_number 47
loop_
_space_group_symop_operation_xyz
'x,y,z'
'-x,-y,-z'
'-x,-y,z'
'x,y,-z'
'x,-y,-z'
'-x,y,z'
'-x,y,-z'
'x,-y,z'
loop_
_atom_site_label
_atom_site_fract_x
_atom_site_fract_y
_atom_site_fract_z
Tl1 0.000 0.000 0.000
Ir1 0.000 0.500 0.500
Pb1 0.500 0.000 0.500
Pb2 0.500 0.500 0.000

(6)
# Pa2Pd (PBE-GGA, optimized geometry)
# final energy = -8.273 eV/atom
# mass density = 14.21 g/cm³
# spin magnetization = 0.00 μB per formula unit
# formation energy = -0.21 eV/atom
data_Pa2Pd
_cell_length_a 5.347
_cell_length_b 4.973
_cell_length_c 5.300
_cell_angle_alpha 90.00
_cell_angle_beta 109.51
_cell_angle_gamma 90.00
_space_group_name_H-M_alt 'C 1 2/m 1'
_space_group_IT_number 12
loop_
_space_group_symop_operation_xyz
'x,y,z'
'-x,-y,-z'
'-x,y,-z'
'x,-y,z'
'x+1/2,y+1/2,z'
'-x+1/2,-y+1/2,-z'
'-x+1/2,y+1/2,-z'
'x+1/2,-y+1/2,z'
loop_
_atom_site_label
_atom_site_fract_x
_atom_site_fract_y
_atom_site_fract_z
Pa1 0.155 0.000 0.340
Pd1 0.000 0.500 0.000

(7)
# Ce5Dy5Ru6 (PBE-GGA, optimized geometry)
# final energy = -7.100 eV/atom
# mass density = 9.52 g/cm³
# spin magnetization = 0.00 μB per formula unit
# formation energy = -0.33 eV/atom
data_Ce5Dy5Ru6
_cell_length_a 6.240
_cell_length_b 14.734
_cell_length_c 8.039
_cell_angle_alpha 90.00
_cell_angle_beta 90.00
_cell_angle_gamma 90.00
_space_group_name_H-M_alt 'A m m 2'
_space_group_IT_number 38
loop_
_space_group_symop_operation_xyz
'x,y,z'
'-x,-y,z'
'-x,y,z'
'x,-y,z'
'x,y+1/2,z+1/2'
'-x,-y+1/2,z+1/2'
'-x,y+1/2,z+1/2'
'x,-y+1/2,z+1/2'
loop_
_atom_site_label
_atom_site_fract_x
_atom_site_fract_y
_atom_site_fract_z
Ce1 0.000 0.000 0.000
Ce2 0.252 0.172 0.764
Dy1 0.000 0.120 0.389
Dy2 0.500 0.000 0.521
Dy3 0.500 0.120 0.144
Ru1 0.000 0.000 0.684
Ru2 0.000 0.193 0.047
Ru3 0.500 0.000 0.865
Ru4 0.500 0.200 0.484